Entry 1:
A geometry-optimized AlSiBr2 structure. Source: Alexandria, functional PBE-GGA.

Structure (POSCAR):
```
AlSiBr2
1.0
1.745 1.008 9.409
-1.745 1.008 9.409
0.000 -2.015 9.409
Al Si Br
1 1 2
Direct
0.000 0.000 0.000
0.500 0.500 0.500
0.094 0.094 0.094
0.906 0.906 0.906
```

Values from the calculation:
**Excess energy over the best structure of this formula in the dataset**: 565 meV/atom
**V**: 99.3 Å³/cell
**Space-group type**: No. 166
**Formation energy (no corrections)**: 0.229 eV/atom
**Total energy**: -2.8987 eV per atom
**Magnetization**: 0.00 μB/f.u.

Entry 2:
A geometry-optimized AgMo2Au structure. Source: Alexandria, functional PBE-GGA.

Structure (POSCAR):
```
AgMo2Au
1.0
1.620 -2.234 0.000
1.620 2.234 0.000
0.000 0.000 9.337
Ag Mo Au
1 2 1
Direct
0.000 0.000 0.000
0.000 0.000 0.485
0.500 0.500 0.258
0.500 0.500 0.738
```

Values from the calculation:
**Excess energy over the best structure of this formula in the dataset**: 0 meV/atom
**V**: 67.6 Å³/cell
**Space-group type**: No. 35
**Formation energy**: 0.205 eV/atom
**Total energy**: -6.7426 eV per atom
**Magnetization**: 0.00 μB/f.u.

Entry 3:
A geometry-optimized Tb2Zr2In3 structure. Source: Alexandria, functional PBE-GGA.

Structure (POSCAR):
```
Tb2Zr2In3
1.0
2.367 -11.362 0.000
2.367 11.362 0.000
0.000 0.000 3.233
Tb Zr In
2 2 3
Direct
0.074 0.926 0.000
0.926 0.074 0.000
0.212 0.788 0.000
0.788 0.212 0.000
0.342 0.658 0.500
0.500 0.500 0.500
0.658 0.342 0.500
```

Values from the calculation:
**V**: 173.9 Å³/cell
**Space-group type**: No. 65
**Formation energy**: -0.236 eV/atom
**Total energy**: -5.1749 eV per atom
**Magnetization**: 0.00 μB/f.u.

Entry 4:
A geometry-optimized AlTl2ReH structure. Source: Alexandria, functional PBE-GGA.

Structure (POSCAR):
```
AlTl2ReH
1.0
5.406 0.000 0.000
0.000 5.406 0.000
0.000 0.000 3.119
Al Tl Re H
1 2 1 1
Direct
0.000 0.000 0.000
0.000 0.500 0.000
0.500 0.000 0.000
0.500 0.500 0.500
0.000 0.000 0.500
```

Values from the calculation:
**V**: 91.2 Å³/cell
**Space-group type**: No. 123
**Total energy**: -3.7720 eV per atom
**Magnetization**: 0.01 μB/f.u.

Entry 5:
A geometry-optimized CeTmGa structure. Source: Alexandria, functional PBE-GGA.

Structure (POSCAR):
```
CeTmGa
1.0
-1.703 1.703 6.636
1.703 -1.703 6.636
1.703 1.703 -6.636
Ce Tm Ga
1 1 1
Direct
0.000 0.000 0.000
0.293 0.293 0.000
0.653 0.653 0.000
```

Values from the calculation:
**Excess energy over the best structure of this formula in the dataset**: 0 meV/atom
**V**: 77.0 Å³/cell
**Space-group type**: No. 107
**Formation energy**: -0.297 eV/atom
**Total energy**: -4.7749 eV per atom
**Magnetization**: 0.80 μB/f.u.

Entry 6:
A geometry-optimized LiMgSbI2 structure. Source: Alexandria, functional PBE-GGA.

Structure (POSCAR):
```
LiMgSbI2
1.0
5.946 0.000 0.000
0.000 5.946 0.000
0.000 0.000 5.605
Li Mg Sb I
1 1 1 2
Direct
0.000 0.000 0.000
0.500 0.500 0.500
0.500 0.500 0.000
0.000 0.500 0.500
0.500 0.000 0.500
```

Values from the calculation:
**Excess energy over the best structure of this formula in the dataset**: 0 meV/atom
**V**: 198.1 Å³/cell
**Space-group type**: No. 123
**Formation energy (no corrections)**: -0.211 eV/atom
**Total energy**: -2.3569 eV per atom
**Magnetization**: 1.89 μB/f.u.

Entry 7:
A geometry-optimized NdTmCu structure. Source: Alexandria, functional PBE-GGA.

Structure (POSCAR):
```
NdTmCu
1.0
4.766 0.000 0.000
-2.383 4.127 0.000
0.000 0.000 3.956
Nd Tm Cu
1 1 1
Direct
0.000 0.000 0.000
0.667 0.333 0.509
0.333 0.667 0.414
```

Values from the calculation:
**Excess energy over the best structure of this formula in the dataset**: 174 meV/atom
**V**: 77.8 Å³/cell
**Space-group type**: No. 156
**Formation energy**: 0.050 eV/atom
**Total energy**: -4.3956 eV per atom
**Magnetization**: 0.00 μB/f.u.

Entry 8:
A geometry-optimized Tb3Pm2Sm2 structure. Source: Alexandria, functional PBE-GGA.

Structure (POSCAR):
```
Tb3Pm2Sm2
1.0
8.828 -1.760 0.000
8.828 1.760 0.000
-4.223 0.000 7.576
Tb Pm Sm
3 2 2
Direct
0.000 0.000 0.000
0.212 0.212 0.303
0.788 0.788 0.697
0.434 0.434 0.590
0.566 0.566 0.410
0.148 0.148 0.832
0.852 0.852 0.168
```

Values from the calculation:
**Excess energy over the best structure of this formula in the dataset**: 100 meV/atom
**V**: 235.4 Å³/cell
**Space-group type**: No. 12
**Formation energy**: 0.114 eV/atom
**Total energy**: -4.5756 eV per atom
**Magnetization**: 0.00 μB/f.u.

Entry 9:
A geometry-optimized LiZnCl2 structure. Source: Alexandria, functional PBE-GGA.

Structure (POSCAR):
```
LiZnCl2
1.0
3.951 0.000 0.000
0.000 3.951 0.000
0.000 0.000 5.258
Li Zn Cl
1 1 2
Direct
0.000 0.000 0.000
0.500 0.500 0.500
0.000 0.000 0.500
0.500 0.500 0.000
```

Values from the calculation:
**Excess energy over the best structure of this formula in the dataset**: 8 meV/atom
**V**: 82.1 Å³/cell
**Space-group type**: No. 123
**Formation energy (no corrections)**: -0.993 eV/atom
**Total energy**: -2.7136 eV per atom
**Magnetization**: 0.00 μB/f.u.

Entry 10:
A geometry-optimized ScPtSe2 structure. Source: Alexandria, functional PBE-GGA.

Structure (POSCAR):
```
ScPtSe2
1.0
3.737 0.000 0.000
0.000 3.737 0.000
0.000 0.000 5.588
Sc Pt Se
1 1 2
Direct
0.000 0.000 0.000
0.500 0.500 0.645
0.000 0.000 0.551
0.500 0.500 0.133
```

Values from the calculation:
**Excess energy over the best structure of this formula in the dataset**: 43 meV/atom
**V**: 78.0 Å³/cell
**Space-group type**: No. 99
**Formation energy (no corrections)**: -0.955 eV/atom
**Total energy**: -5.7899 eV per atom
**Magnetization**: 0.00 μB/f.u.

Entry 11:
A geometry-optimized Ac4InOs structure. Source: Alexandria, functional PBE-GGA.

Structure (POSCAR):
```
Ac4InOs
1.0
5.046 -8.231 0.000
5.046 8.231 0.000
-4.884 0.000 5.453
Ac In Os
8 2 2
Direct
0.064 0.638 0.872
0.181 0.276 0.632
0.276 0.181 0.132
0.362 0.936 0.628
0.638 0.064 0.372
0.724 0.819 0.868
0.819 0.724 0.368
0.936 0.362 0.128
0.387 0.613 0.250
0.613 0.387 0.750
0.089 0.911 0.250
0.911 0.089 0.750
```

Values from the calculation:
**Excess energy over the best structure of this formula in the dataset**: 0 meV/atom
**V**: 453.0 Å³/cell
**Space-group type**: No. 15
**Formation energy**: -0.119 eV/atom
**Total energy**: -5.1864 eV per atom
**Magnetization**: 0.00 μB/f.u.

Entry 12:
A geometry-optimized Cd3Ni structure. Source: Alexandria, functional PBE-GGA.

Structure (POSCAR):
```
Cd3Ni
1.0
0.000 3.324 3.324
3.324 0.000 3.324
3.324 3.324 0.000
Cd Ni
3 1
Direct
0.000 0.000 0.000
0.250 0.250 0.250
0.750 0.750 0.750
0.500 0.500 0.500
```

Values from the calculation:
**V**: 73.5 Å³/cell
**Space-group type**: No. 225
**Formation energy**: 0.110 eV/atom
**Total energy**: -2.0215 eV per atom
**Magnetization**: 0.00 μB/f.u.

> magnetization of number 3 (Tb2Zr2In3)?

0.00 μB/f.u.